Computed, not measured: an optimized crystal structure of AcSmAl6 at the PBE level of DFT.

formation enthalpy at 0 K: -348 meV per atom
D(E_F): 0.2218 states/eV/atom
magnetic moment: 0.00 Bohr magnetons per cell

Cell lengths 4.515, 6.406, 6.191 Å; angles 90.00, 90.00, 90.00 degrees
Space group Pmm2 (No. 25)
Unique sites:
Ac 0.000 0.000 0.000 [1 per cell]
Sm 0.500 0.500 0.227 [1 per cell]
Al 0.000 0.244 0.481 [2 per cell]
Al 0.000 0.500 0.855 [1 per cell]
Al 0.500 0.000 0.412 [1 per cell]
Al 0.500 0.286 0.743 [2 per cell]